A plane-wave DFT calculation with GGA-PBE was carried out for an optimized crystal structure of LaHf2Co.

Results
**Energy relative to the elements**: 0.330 eV per atom

a = 4.817 Å, b = 4.817 Å, c = 4.817 Å
α = 60.00°, β = 60.00°, γ = 60.00°
Positions (direct):
Co  0.000  0.000  0.000
Hf  0.250  0.250  0.250
Hf  0.750  0.750  0.750
La  0.500  0.500  0.500